1.
# Rb3Hg4Pb2

A relaxed Rb3Hg4Pb2 crystal (PBE, Alexandria via LeMat-Bulk).

Values from the calculation:
Symmetry: C2/m
Formation energy from the elements in eV per atom: -0.1874

a = 7.310 Å, b = 7.310 Å, c = 10.112 Å
α = 106.93°, β = 106.93°, γ = 41.76°
Element x y z (fractional)
Rb 0.000 0.000 0.000
Rb 0.382 0.382 0.300
Rb 0.618 0.618 0.700
Hg 0.087 0.087 0.430
Hg 0.267 0.267 0.924
Hg 0.733 0.733 0.076
Hg 0.913 0.913 0.570
Pb 0.320 0.320 0.643
Pb 0.680 0.680 0.357

2.
# RbHgPb2

A relaxed RbHgPb2 crystal (PBE, Alexandria via LeMat-Bulk).

Values from the calculation:
Symmetry: P4/mmm
Formation energy from the elements in eV per atom: -0.0441

a = 4.052 Å, b = 4.052 Å, c = 8.480 Å
α = 90.00°, β = 90.00°, γ = 90.00°
Element x y z (fractional)
Rb 0.000 0.000 0.000
Hg 0.000 0.000 0.500
Pb 0.500 0.500 0.315
Pb 0.500 0.500 0.685

3.
# RbHg2Pb

A relaxed RbHg2Pb crystal (PBE, Alexandria via LeMat-Bulk).

Values from the calculation:
Symmetry: I-42d
Formation energy from the elements in eV per atom: -0.0453

a = 11.116 Å, b = 11.116 Å, c = 11.116 Å
α = 149.42°, β = 149.42°, γ = 43.80°
Element x y z (fractional)
Rb 0.000 0.000 0.000
Rb 0.750 0.250 0.500
Hg 0.276 0.625 0.151
Hg 0.375 0.526 0.651
Hg 0.474 0.125 0.849
Hg 0.875 0.724 0.349
Pb 0.250 0.750 0.500
Pb 0.500 0.500 0.000

4.
# RbHg4Pb2

A relaxed RbHg4Pb2 crystal (PBE, Alexandria via LeMat-Bulk).

Values from the calculation:
Symmetry: C2/c
Offset from the most stable computed form in eV per atom: 0.0000
Formation energy from the elements in eV per atom: -0.0913

a = 10.687 Å, b = 10.687 Å, c = 6.548 Å
α = 90.16°, β = 90.16°, γ = 36.17°
Element x y z (fractional)
Rb 0.191 0.809 0.750
Rb 0.809 0.191 0.250
Hg 0.146 0.154 0.500
Hg 0.154 0.146 0.000
Hg 0.259 0.578 0.249
Hg 0.422 0.741 0.251
Hg 0.578 0.259 0.749
Hg 0.741 0.422 0.751
Hg 0.846 0.854 0.000
Hg 0.854 0.846 0.500
Pb 0.187 0.393 0.756
Pb 0.393 0.187 0.256
Pb 0.607 0.813 0.744
Pb 0.813 0.607 0.244

5.
# RbHgPb

A relaxed RbHgPb crystal (PBE, Alexandria via LeMat-Bulk).

Values from the calculation:
Symmetry: P-1
Offset from the most stable computed form in eV per atom: 0.0000
Formation energy from the elements in eV per atom: -0.1788

a = 4.759 Å, b = 7.004 Å, c = 8.030 Å
α = 97.61°, β = 107.07°, γ = 109.76°
Element x y z (fractional)
Rb 0.220 0.145 0.292
Rb 0.780 0.855 0.708
Hg 0.038 0.411 0.661
Hg 0.962 0.589 0.339
Pb 0.373 0.665 0.080
Pb 0.627 0.335 0.920

6.
# Rb4Hg2Pb

A relaxed Rb4Hg2Pb crystal (PBE, Alexandria via LeMat-Bulk).

Values from the calculation:
Symmetry: I4/mmm
Formation energy from the elements in eV per atom: -0.0287

a = 10.149 Å, b = 10.149 Å, c = 10.149 Å
α = 138.35°, β = 138.35°, γ = 60.36°
Element x y z (fractional)
Rb 0.000 0.500 0.500
Rb 0.206 0.206 0.000
Rb 0.500 0.000 0.500
Rb 0.794 0.794 0.000
Hg 0.413 0.413 0.000
Hg 0.587 0.587 0.000
Pb 0.000 0.000 0.000

7.
# Rb5Hg6Pb

A relaxed Rb5Hg6Pb crystal (PBE, Alexandria via LeMat-Bulk).

Values from the calculation:
Symmetry: C2/m
Formation energy from the elements in eV per atom: -0.1685

a = 9.991 Å, b = 9.991 Å, c = 6.895 Å
α = 101.21°, β = 101.21°, γ = 124.46°
Element x y z (fractional)
Rb 0.000 0.000 0.000
Rb 0.192 0.808 0.500
Rb 0.384 0.616 0.000
Rb 0.616 0.384 0.000
Rb 0.808 0.192 0.500
Hg 0.001 0.625 0.875
Hg 0.193 0.193 0.573
Hg 0.375 0.999 0.125
Hg 0.625 0.001 0.875
Hg 0.807 0.807 0.427
Hg 0.999 0.375 0.125
Pb 0.500 0.500 0.500

8.
# RbHg2Pb2

A relaxed RbHg2Pb2 crystal (PBE, Alexandria via LeMat-Bulk).

Values from the calculation:
Symmetry: I4/mmm
Offset from the most stable computed form in eV per atom: 0.0563
Formation energy from the elements in eV per atom: -0.0915

a = 7.170 Å, b = 7.170 Å, c = 7.170 Å
α = 135.93°, β = 135.93°, γ = 64.09°
Element x y z (fractional)
Rb 0.000 0.000 0.000
Hg 0.250 0.750 0.500
Hg 0.750 0.250 0.500
Pb 0.373 0.373 0.000
Pb 0.627 0.627 0.000

9.
# Rb3Hg3Pb8

A relaxed Rb3Hg3Pb8 crystal (PBE, Alexandria via LeMat-Bulk).

Values from the calculation:
Symmetry: Immm
Formation energy from the elements in eV per atom: -0.1006

a = 10.012 Å, b = 10.012 Å, c = 10.012 Å
α = 149.67°, β = 102.83°, γ = 85.12°
Element x y z (fractional)
Rb 0.000 0.000 0.000
Rb 0.288 0.288 0.000
Rb 0.712 0.712 0.000
Hg 0.355 0.500 0.855
Hg 0.500 0.000 0.500
Hg 0.645 0.500 0.145
Pb 0.019 0.374 0.644
Pb 0.131 0.843 0.289
Pb 0.270 0.626 0.644
Pb 0.446 0.157 0.289
Pb 0.554 0.843 0.711
Pb 0.730 0.374 0.356
Pb 0.869 0.157 0.711
Pb 0.981 0.626 0.356

10.
# Rb2HgPb

A relaxed Rb2HgPb crystal (PBE, Alexandria via LeMat-Bulk).

Values from the calculation:
Symmetry: R-3m
Formation energy from the elements in eV per atom: 0.1302

a = 13.224 Å, b = 13.224 Å, c = 13.224 Å
α = 17.28°, β = 17.28°, γ = 17.28°
Element x y z (fractional)
Rb 0.093 0.093 0.093
Rb 0.907 0.907 0.907
Hg 0.500 0.500 0.500
Pb 0.000 0.000 0.000

11.
# Rb3Hg8Pb

A relaxed Rb3Hg8Pb crystal (PBE, Alexandria via LeMat-Bulk).

Values from the calculation:
Symmetry: R3m
Formation energy from the elements in eV per atom: -0.1457

a = 11.441 Å, b = 11.441 Å, c = 11.441 Å
α = 32.61°, β = 32.61°, γ = 32.61°
Element x y z (fractional)
Rb 0.000 0.000 0.000
Rb 0.128 0.128 0.128
Rb 0.508 0.508 0.508
Hg 0.058 0.567 0.567
Hg 0.068 0.068 0.568
Hg 0.068 0.568 0.068
Hg 0.316 0.316 0.316
Hg 0.567 0.058 0.567
Hg 0.567 0.567 0.058
Hg 0.568 0.068 0.068
Hg 0.818 0.818 0.818
Pb 0.625 0.625 0.625

12.
# RbHgPb2

A relaxed RbHgPb2 crystal (PBE, Alexandria via LeMat-Bulk).

Values from the calculation:
Symmetry: I-42d
Formation energy from the elements in eV per atom: 0.0349

a = 12.185 Å, b = 12.185 Å, c = 12.185 Å
α = 155.60°, β = 155.60°, γ = 34.77°
Element x y z (fractional)
Rb 0.000 0.000 0.000
Rb 0.750 0.250 0.500
Hg 0.250 0.750 0.500
Hg 0.500 0.500 0.000
Pb 0.201 0.625 0.076
Pb 0.375 0.451 0.576
Pb 0.549 0.125 0.924
Pb 0.875 0.799 0.424

Short version: density of states at the Fermi level = 0.5584, 0.5328, 0.3042, 0.3786, 0.3836, 0.5810, 0.5071, 0.4606, 0.3619, 0.5063, 0.5962, 0.5872 states/eV per atom, in the order given.
Short version: final energy = -13.21, -8.86, -10.92, -20.46, -11.03, -8.38, -12.38, -9.45, -34.88, -5.42, -10.77, -17.09 eV for the cell shown, in the order given.